No. 1
42
Lattice="5.557 0.000 0.000 -2.779 9.055 -0.214 0.000 -3.227 12.472" Properties=species:S:1:pos:R:3 comment="Cd2SiP4O14 | Alexandria via LeMat-Bulk | meta-GGA SCAN | single point on PBEsol structure" space_group="No. 15" m_tot_mub_per_cell=0.00 formation_energy_uncorrected_ev_per_atom=-2.31 pbc="T T T"
O -0.823 4.384 11.877
O 2.488 4.298 6.537
O 3.069 5.912 0.301
O 3.601 1.444 0.381
O -1.259 3.041 9.762
O 1.956 -0.169 6.617
O 3.903 0.417 8.189
O 1.378 -0.195 4.251
O 0.042 5.762 0.890
O -0.615 5.512 9.752
O 2.163 -1.297 8.742
O 1.400 6.024 8.007
O -1.124 5.412 4.069
O 0.615 7.125 3.516
O 1.655 2.030 1.953
O 1.520 1.174 8.732
O 4.037 2.787 2.496
O 0.291 1.530 5.721
O 0.823 5.998 5.641
O 2.736 0.066 11.368
O 1.124 3.798 10.305
O 3.394 0.317 2.506
O 1.259 4.654 3.526
O -0.291 -0.083 11.957
O 2.821 1.680 5.133
O 4.179 -1.809 10.487
O -0.042 4.148 7.125
O -1.400 7.637 1.771
Si 3.181 -2.420 9.354
Si 2.376 -0.807 3.118
Cd -0.361 2.102 7.781
Cd 2.417 2.112 10.713
Cd 3.140 3.726 4.477
Cd 0.361 3.716 1.545
P 1.592 0.861 5.416
P 3.965 -0.753 11.652
P 1.187 4.968 6.842
P 0.346 5.703 4.151
P 2.432 0.125 8.107
P -0.346 4.089 10.387
P -1.187 6.581 0.606
P 3.125 1.739 1.871



No. 2
5
Lattice="-2.155 -0.787 -3.126 3.132 -1.402 -1.806 -1.030 -4.757 1.908" Properties=species:S:1:pos:R:3 comment="TaCdPO2 | Alexandria via LeMat-Bulk | meta-GGA SCAN | single point on PBEsol structure" space_group="No. 123" m_tot_mub_per_cell=0.00 formation_energy_uncorrected_ev_per_atom=-1.63 pbc="T T T"
P -0.515 -2.379 0.954
O -1.078 -0.393 -1.563
O 1.566 -0.701 -0.903
Cd -0.027 -3.473 -1.512
Ta 0.000 0.000 0.000



No. 3
5
Lattice="-0.151 -1.621 3.225 5.374 -0.093 0.204 -0.009 4.805 2.416" Properties=species:S:1:pos:R:3 comment="TiCd2PO | Alexandria via LeMat-Bulk | meta-GGA SCAN | single point on PBEsol structure" space_group="No. 123" m_tot_mub_per_cell=0.00 formation_energy_uncorrected_ev_per_atom=-0.18 pbc="T T T"
Ti 0.000 0.000 0.000
Cd -0.004 2.403 1.208
Cd 2.687 -0.046 0.102
P 2.607 1.546 2.922
O -0.075 -0.811 1.612